Density functional theory data (PBE) for an optimized crystal structure of YSc2Au2.

extended XYZ file:
```
10
Lattice="-4.1265 2.7934 -6.1718 -6.2057 1.3399 4.7556 1.2221 3.2842 0.6693" Properties=species:S:1:pos:R:3 pbc="T T T"
Au -2.8252 0.8640 0.9186
Au -7.5070 3.2692 -2.3347
Au -6.8892 2.1846 1.8589
Au -3.4430 1.9486 -3.2750
Sc -4.9631 4.4433 -3.2324
Sc -4.1470 2.9742 2.4856
Sc -1.7853 2.8059 -1.0007
Sc -7.3248 4.6115 0.2539
Y 0.0000 0.0000 0.0000
Y -5.1661 2.0666 -0.7081
```

Calculated values
space-group type	P4/mbm
size of the total moment	0.000	μB/f.u.
E_tot	-5.789	eV/atom
DFT formation energy	-0.65	eV/atom
distance to the lowest polymorph of the same formula	0	meV/atom
Fermi-level density of states	11.8	states/eV/cell

***

Density functional theory data (PBE) for an optimized crystal structure of Y2ScAu3.

extended XYZ file:
```
6
Lattice="3.5167 0.0000 0.0000 0.0000 3.5167 0.0000 0.0000 0.0000 10.7501" Properties=species:S:1:pos:R:3 pbc="T T T"
Au 0.0000 0.0000 0.0000
Au 0.0000 0.0000 3.7706
Au 0.0000 0.0000 6.9795
Y 1.7583 1.7583 1.8556
Y 1.7583 1.7583 8.8946
Sc 1.7583 1.7583 5.3751
```

Calculated values
space-group type	P4/mmm
size of the total moment	0.000	μB/f.u.
E_tot	-5.685	eV/atom
DFT formation energy	-0.84	eV/atom
Fermi-level density of states	2.2	states/eV/cell

***

Density functional theory data (PBE) for an optimized crystal structure of YScAu.

extended XYZ file:
```
3
Lattice="-0.4299 3.3652 -3.4483 -2.1364 -1.0986 -4.1988 -4.3477 1.8395 -1.0558" Properties=species:S:1:pos:R:3 pbc="T T T"
Sc 0.0000 0.0000 0.0000
Au -1.7285 1.0266 -2.1757
Y -3.4570 2.0531 -4.3514
```

Calculated values
space-group type	F-43m
size of the total moment	0.000	μB/f.u.
E_tot	-5.778	eV/atom
DFT formation energy	-0.42	eV/atom
distance to the lowest polymorph of the same formula	231	meV/atom
Fermi-level density of states	3.9	states/eV/cell